*A*
Material: ScAlRh4
Method: DFT, PBE-GGA
State: relaxed

The structure in POSCAR format:
```
ScAlRh4
1.0
3.238 1.484 3.711
-1.745 2.726 3.998
-0.269 -2.156 4.662
Rh Al Sc
4 1 1
Direct
0.375 0.375 0.876
0.876 0.375 0.375
0.375 0.375 0.375
0.375 0.876 0.375
0.000 0.000 0.000
0.750 0.750 0.750
```



*B*
Material: ScAlRh4
Method: DFT, PBE-GGA
State: relaxed

The structure in POSCAR format:
```
ScAlRh4
1.0
4.082 0.000 -0.001
0.000 4.087 -0.002
0.003 0.004 6.121
Rh Sc Al
4 1 1
Direct
0.001 0.497 0.731
0.501 0.997 0.732
0.501 0.997 0.264
0.001 0.497 0.265
0.501 0.497 0.998
0.001 0.997 0.498
```



Stability summary: most stable *A*, least stable *B*.



*A*
Material: AlRhSe
Method: DFT, PBE-GGA
State: relaxed

The structure in POSCAR format:
```
AlRhSe
1.0
4.220 0.000 0.000
2.110 3.654 0.000
2.110 1.218 3.445
Rh Al Se
1 1 1
Direct
0.250 0.250 0.250
0.500 0.500 0.500
0.000 0.000 0.000
```



*B*
Material: AlRhSe
Method: DFT, PBE-GGA
State: relaxed

The structure in POSCAR format:
```
AlRhSe
1.0
-0.849 3.838 1.568
-1.617 0.385 3.892
2.371 1.579 3.130
Al Rh Se
1 1 1
Direct
0.750 0.750 0.750
0.000 0.000 0.000
0.500 0.500 0.500
```



Stability summary: most stable *A*, least stable *B*.